This record from the Alexandria database describes crystalline CaLaTb2 at its relaxed geometry. The functional is PBE.

Lattice parameters (Å, degrees): 5.3153 5.1338 5.1338 90.00 90.00 90.00
Closest atoms and distances in Å follow each position.
Element x y z (fractional)
1 Tb 0.0000 0.5000 0.0000  4 Tb 3.63, 4 La 3.69, 4 Ca 3.69
2 Tb 0.0000 0.0000 0.5000  4 Tb 3.63, 4 La 3.69, 4 Ca 3.69
3 Ca 0.5000 0.0000 0.0000  4 La 3.63, 8 Tb 3.69
4 La 0.5000 0.5000 0.5000  4 Ca 3.63, 8 Tb 3.69

Volume, Å³/f.u.: 140
Space group: P4/mmm, No. 123
DFT formation energy, eV per atom: 0.1143
E, eV/atom: -3.93

=====

This record from the Alexandria database describes crystalline CaLa2Tb at its relaxed geometry. The functional is PBE.

Lattice parameters (Å, degrees): 5.9307 5.9307 5.9307 60.00 60.00 60.00
Closest atoms and distances in Å follow each position.
Element x y z (fractional)
1 Tb 0.0000 0.0000 0.0000  8 La 3.63
2 La 0.7500 0.7500 0.7500  4 Tb 3.63, 4 Ca 3.63
3 La 0.2500 0.2500 0.2500  4 Tb 3.63, 4 Ca 3.63
4 Ca 0.5000 0.5000 0.5000  8 La 3.63

Volume, Å³/f.u.: 148
Space group: Fm-3m, No. 225
DFT formation energy, eV per atom: 0.1020
E, eV/atom: -4.02

=====

This record from the Alexandria database describes crystalline Ca2La2Tb at its relaxed geometry. The functional is PBE.

Lattice parameters (Å, degrees): 3.7350 3.7350 15.6281 90.02 90.02 59.99
Closest atoms and distances in Å follow each position.
Element x y z (fractional)
1 Ca 0.6665 0.6665 0.3952  9 Ca 3.73-3.92, 3 La 3.92-3.93
2 Ca 0.3335 0.3335 0.6048  9 Ca 3.73-3.92, 3 La 3.92-3.93
3 La 0.3339 0.3339 0.1853  3 Tb 3.61, 6 La 3.73, 3 Ca 3.92-3.93
4 La 0.6661 0.6661 0.8147  3 Tb 3.61, 6 La 3.73, 3 Ca 3.92-3.93
5 Tb 0.0000 0.0000 0.0000  6 La 3.61, 6 Tb 3.73

Volume, Å³/f.u.: 189
Space group: P-3m1, No. 164
DFT formation energy, eV per atom: 0.0295
E, eV/atom: -3.67

=====

This record from the Alexandria database describes crystalline CaLaTb2 at its relaxed geometry. The functional is PBE.

Lattice parameters (Å, degrees): 3.7002 3.7002 10.3549 90.00 90.00 90.00
Closest atoms and distances in Å follow each position.
Element x y z (fractional)
1 Tb 0.0000 0.0000 0.2367  4 La 3.58, 4 Tb 3.70, 4 Ca 3.78
2 Tb 0.0000 0.0000 0.7633  4 La 3.58, 4 Tb 3.70, 4 Ca 3.78
3 La 0.5000 0.5000 0.0000  8 Tb 3.58, 4 La 3.70
4 Ca 0.5000 0.5000 0.5000  4 Ca 3.70, 8 Tb 3.78

Volume, Å³/f.u.: 142
Space group: P4/mmm, No. 123
DFT formation energy, eV per atom: 0.0789
E, eV/atom: -3.97

=====

This record from the Alexandria database describes crystalline CaLa6Tb2 at its relaxed geometry. The functional is PBE.

Lattice parameters (Å, degrees): 6.1663 6.1663 11.8442 90.00 90.00 120.00
Closest atoms and distances in Å follow each position.
Element x y z (fractional)
1 La 0.0000 0.3223 0.2656  6 La 3.44-3.62, 2 Tb 3.48, 1 Ca 3.72
2 La 0.3223 0.0000 0.2656  6 La 3.44-3.62, 2 Tb 3.48, 1 Ca 3.72
3 La 0.6777 0.6777 0.2656  6 La 3.44-3.62, 2 Tb 3.48, 1 Ca 3.72
4 La 0.3223 0.3223 0.7344  6 La 3.44-3.62, 2 Tb 3.48, 1 Ca 3.72
5 La 0.6777 0.0000 0.7344  6 La 3.44-3.62, 2 Tb 3.48, 1 Ca 3.72
6 La 0.0000 0.6777 0.7344  6 La 3.44-3.62, 2 Tb 3.48, 1 Ca 3.72
7 Ca 0.0000 0.0000 0.0000  6 La 3.72
8 Tb 0.3333 0.6667 0.5000  6 La 3.48, 3 Tb 3.56
9 Tb 0.6667 0.3333 0.5000  6 La 3.48, 3 Tb 3.56

Volume, Å³/f.u.: 390
Space group: P-31m, No. 162
DFT formation energy, eV per atom: 0.4617
E, eV/atom: -4.07

=====

This record from the Alexandria database describes crystalline CaLa2Tb at its relaxed geometry. The functional is PBE.

Lattice parameters (Å, degrees): 5.0100 5.3974 5.3974 90.00 90.00 90.00
Closest atoms and distances in Å follow each position.
Element x y z (fractional)
1 Ca 0.5000 0.0000 0.0000  8 La 3.68, 4 Tb 3.82
2 La 0.0000 0.0000 0.5000  4 Tb 3.68, 4 Ca 3.68, 4 La 3.82
3 La 0.0000 0.5000 0.0000  4 Tb 3.68, 4 Ca 3.68, 4 La 3.82
4 Tb 0.5000 0.5000 0.5000  8 La 3.68, 4 Ca 3.82

Volume, Å³/f.u.: 146
Space group: P4/mmm, No. 123
DFT formation energy, eV per atom: 0.0920
E, eV/atom: -4.03

=====

This record from the Alexandria database describes crystalline CaLa8Tb3 at its relaxed geometry. The functional is PBE.

Lattice parameters (Å, degrees): 8.9147 8.9147 8.9148 96.87 100.10 134.83
Closest atoms and distances in Å follow each position.
Element x y z (fractional)
1 Ca 0.0000 0.0000 0.0000  8 La 3.56-3.58
2 Tb 0.5000 0.7803 0.2803  10 La 3.76-3.97
3 Tb 0.0000 0.5000 0.5000  4 La 3.14
4 Tb 0.5000 0.2197 0.7197  10 La 3.76-3.97
5 La 0.1734 0.2516 0.4253  6 La 3.53-3.85, 2 Tb 3.55-3.76, 1 Ca 3.58
6 La 0.0571 0.7761 0.2809  1 La 3.07, 1 Tb 3.14
7 La 0.4952 0.7761 0.7191  1 La 3.07, 1 Tb 3.14
8 La 0.8266 0.2519 0.0782  6 La 3.53-3.85, 2 Tb 3.55-3.76, 1 Ca 3.58
9 La 0.5048 0.2239 0.2810  1 La 3.07, 1 Tb 3.14
10 La 0.8263 0.7481 0.5747  6 La 3.53-3.85, 2 Tb 3.55-3.76, 1 Ca 3.58
11 La 0.1737 0.7484 0.9218  6 La 3.53-3.85, 2 Tb 3.55-3.76, 1 Ca 3.58
12 La 0.9429 0.2239 0.7190  1 La 3.07, 1 Tb 3.14

Volume, Å³/f.u.: 464
Space group: Immm, No. 71
DFT formation energy, eV per atom: 0.3039
E, eV/atom: -4.31

=====

This record from the Alexandria database describes crystalline CaLa4Tb4 at its relaxed geometry. The functional is PBE.

Lattice parameters (Å, degrees): 9.2540 10.8349 12.2124 72.71 121.81 141.33
Closest atoms and distances in Å follow each position.
Element x y z (fractional)
1 Ca 0.4989 0.4934 0.7450  6 Tb 3.45-3.80, 4 La 3.56-3.74
2 Ca 0.5011 0.5066 0.2550  6 Tb 3.45-3.80, 4 La 3.56-3.74
3 Tb 0.8529 0.9509 0.5915  3 Tb 3.47-3.74, 4 La 3.61-3.86, 2 Ca 3.70-3.80
4 Tb 0.1905 0.2287 0.9339  4 La 3.45-3.65, 2 Ca 3.45-3.78, 4 Tb 3.65-3.68
5 Tb 0.1776 0.5588 0.9329  5 Tb 3.44-3.67, 6 La 3.54-3.83, 1 Ca 3.70
6 Tb 0.8095 0.7713 0.0661  4 La 3.45-3.65, 2 Ca 3.45-3.78, 4 Tb 3.65-3.68
7 Tb 0.4948 0.1650 0.7504  4 Tb 3.44-3.67, 6 La 3.47-3.80, 1 Ca 3.51
8 Tb 0.5052 0.8350 0.2496  4 Tb 3.44-3.67, 6 La 3.47-3.80, 1 Ca 3.51
9 Tb 0.8224 0.4412 0.0671  5 Tb 3.44-3.67, 6 La 3.54-3.83, 1 Ca 3.70
10 Tb 0.1471 0.0491 0.4085  3 Tb 3.47-3.74, 4 La 3.61-3.86, 2 Ca 3.70-3.80
11 La 0.2029 0.9084 0.9481  7 Tb 3.47-3.66, 1 Ca 3.56, 2 La 3.59-3.62
12 La 0.1704 0.7257 0.4014  5 La 3.48-3.84, 5 Tb 3.67-3.89, 1 Ca 3.88
13 La 0.7971 0.0916 0.0519  7 Tb 3.47-3.66, 1 Ca 3.56, 2 La 3.59-3.62
14 La 0.4944 0.1719 0.2548  5 Tb 3.45-3.75, 5 La 3.48-3.78, 1 Ca 3.58
15 La 0.8296 0.2743 0.5986  5 La 3.48-3.84, 5 Tb 3.67-3.89, 1 Ca 3.88
16 La 0.5056 0.8281 0.7452  5 Tb 3.45-3.75, 5 La 3.48-3.78, 1 Ca 3.58
17 La 0.8786 0.6300 0.6076  3 La 3.54-3.95, 2 Ca 3.58-3.74, 5 Tb 3.61-3.86
18 La 0.1214 0.3700 0.3924  3 La 3.54-3.95, 2 Ca 3.58-3.74, 5 Tb 3.61-3.86

Volume, Å³/f.u.: 317
Space group: P-1, No. 2
DFT formation energy, eV per atom: 0.0595
E, eV/atom: -4.41

=====

This record from the Alexandria database describes crystalline CaLa6Tb4 at its relaxed geometry. The functional is PBE.

Lattice parameters (Å, degrees): 9.8491 9.8491 9.8491 57.68 140.11 140.11
Closest atoms and distances in Å follow each position.
Element x y z (fractional)
1 Ca 0.0000 0.0000 0.0000  4 La 3.36, 4 Tb 3.64
2 La 0.5000 0.5000 0.0000  4 La 3.30, 2 Ca 3.36
3 La 0.5000 0.0000 0.5000  4 La 3.30, 2 Ca 3.36
4 La 0.0000 0.7821 0.4635  3 La 3.03-3.30, 1 Tb 3.31
5 La 0.6814 0.2179 0.2179  3 La 3.03-3.30, 1 Tb 3.31
6 La 0.0000 0.4635 0.7821  3 La 3.03-3.30, 1 Tb 3.31
7 La 0.3186 0.5365 0.5365  3 La 3.03-3.30, 1 Tb 3.31
8 Tb 0.0000 0.6336 0.9945  3 La 3.31-3.56, 1 Tb 3.43, 1 Ca 3.64
9 Tb 0.0000 0.9945 0.6336  3 La 3.31-3.56, 1 Tb 3.43, 1 Ca 3.64
10 Tb 0.3609 0.3664 0.3664  3 La 3.31-3.56, 1 Tb 3.43, 1 Ca 3.64
11 Tb 0.6391 0.0055 0.0055  3 La 3.31-3.56, 1 Tb 3.43, 1 Ca 3.64

Volume, Å³/f.u.: 389
Space group: I-42m, No. 121
DFT formation energy, eV per atom: 0.2891
E, eV/atom: -4.26

=====

This record from the Alexandria database describes crystalline CaLa5Tb at its relaxed geometry. The functional is PBE.

Lattice parameters (Å, degrees): 5.6563 5.6563 8.5878 90.00 90.00 90.00
Closest atoms and distances in Å follow each position.
Element x y z (fractional)
1 La 0.0000 0.5000 0.7118  2 Tb 3.36, 3 La 3.64-3.76, 2 Ca 3.76
2 La 0.0000 0.5000 0.2882  2 Tb 3.36, 3 La 3.64-3.76, 2 Ca 3.76
3 La 0.5000 0.0000 0.7118  2 Tb 3.36, 3 La 3.64-3.76, 2 Ca 3.76
4 La 0.5000 0.5000 0.0000  8 La 3.76, 4 Ca 4.00
5 La 0.5000 0.0000 0.2882  2 Tb 3.36, 3 La 3.64-3.76, 2 Ca 3.76
6 Tb 0.0000 0.0000 0.5000  8 La 3.36
7 Ca 0.0000 0.0000 0.0000  12 La 3.76-4.00

Volume, Å³/f.u.: 275
Space group: P4/mmm, No. 123
DFT formation energy, eV per atom: 0.2748
E, eV/atom: -4.19

=====

This record from the Alexandria database describes crystalline CaLaTb2 at its relaxed geometry. The functional is PBE.

Lattice parameters (Å, degrees): 3.6606 3.6606 12.2767 81.43 81.43 60.00
Closest atoms and distances in Å follow each position.
Element x y z (fractional)
1 Tb 0.0804 0.0804 0.7589  3 La 3.61, 6 Tb 3.66, 3 Ca 3.79
2 Tb 0.2529 0.2529 0.2412  3 La 3.59, 6 Tb 3.66, 3 Ca 3.76
3 La 0.6662 0.6662 0.0015  6 Tb 3.59-3.61, 6 La 3.66
4 Ca 0.5005 0.5005 0.4984  6 Ca 3.66, 6 Tb 3.76-3.79

Volume, Å³/f.u.: 140
Space group: R3m, No. 160
DFT formation energy, eV per atom: 0.0605
E, eV/atom: -3.99

=====

This record from the Alexandria database describes crystalline CaLaTb2 at its relaxed geometry. The functional is PBE.

Lattice parameters (Å, degrees): 3.6643 3.6643 12.3121 81.44 81.44 60.00
Closest atoms and distances in Å follow each position.
Element x y z (fractional)
1 Ca 0.5000 0.5000 0.5000  6 Ca 3.66, 6 Tb 3.78
2 La 0.0000 0.0000 0.0000  6 Tb 3.61, 6 La 3.66
3 Tb 0.2528 0.2528 0.2415  3 La 3.61, 6 Tb 3.66, 3 Ca 3.78
4 Tb 0.7472 0.7472 0.7585  3 La 3.61, 6 Tb 3.66, 3 Ca 3.78

Volume, Å³/f.u.: 141
Space group: R-3m, No. 166
DFT formation energy, eV per atom: 0.0669
E, eV/atom: -3.98